First-principles (PBE-GGA) data for YHRh3 after structural relaxation, as listed in the Alexandria database.

Results
final energy	-6.837	eV/atom
calculated density	9.65	Mg/m³
distance to the lowest polymorph of the same formula	31	meV/atom

Geometry as POSCAR:
```
YHRh3
1.0
4.050 0.000 0.000
-0.003 5.823 0.000
-0.003 -0.210 5.820
Y H Rh
2 2 6
Cartesian
0.000 0.000 0.000 Y
-0.003 2.650 3.059 Y
0.174 4.312 1.607 H
2.035 2.578 5.811 H
2.025 1.312 1.546 Rh
2.022 4.149 4.426 Rh
2.027 1.207 4.426 Rh
2.031 4.247 1.541 Rh
4.038 5.608 2.951 Rh
4.046 2.875 0.119 Rh
```


First-principles (PBE-GGA) data for ThIn2Te3 after structural relaxation, as listed in the Alexandria database.

Results
final energy	-4.423	eV/atom
calculated density	6.34	Mg/m³
energy relative to the elements, uncorrected	-0.703	eV/atom

Geometry as POSCAR:
```
ThIn2Te3
1.0
4.021 -6.870 0.000
4.021 6.870 0.000
-2.584 0.000 8.006
Th In Te
2 4 6
Cartesian
4.021 4.560 0.000 Th
4.021 -4.560 0.000 Th
-1.292 0.000 4.003 In
2.729 2.194 4.003 In
4.021 0.000 0.000 In
2.729 -2.194 4.003 In
-0.033 2.462 6.147 Te
1.172 0.000 1.759 Te
-0.033 -2.462 6.147 Te
5.491 2.462 1.858 Te
4.286 0.000 6.246 Te
5.491 -2.462 1.858 Te
```